Computed, not measured: a geometry-optimized ZrTa3Cd structure at the PBE level of DFT.

Cell lengths 4.9359, 4.9359, 4.9359 Å; angles 90.00, 90.00, 90.00 degrees
With the nearest neighbours (Å) after each atom.
Positions (direct):
Cd  0.5000  0.5000  0.5000  12 Ta 3.49
Zr  0.0000  0.0000  0.0000  6 Ta 2.47
Ta  0.0000  0.5000  0.0000  2 Zr 2.47
Ta  0.0000  0.0000  0.5000  2 Zr 2.47
Ta  0.5000  0.0000  0.0000  2 Zr 2.47

The formation energy from the elements comes out at 177 kJ/mol of atoms. The total energy is -35.873 eV for the cell shown. The density of states at the Fermi level comes out at 1.3547 states/eV per atom. As for the space group: Pm-3m.



Computed, not measured: a geometry-optimized LiScMo2 structure at the PBE level of DFT.

Cell lengths 10.1792, 10.1792, 10.1792 Å; angles 16.12, 16.12, 16.12 degrees
With the nearest neighbours (Å) after each atom.
Positions (direct):
Li  0.7452  0.7452  0.7452  6 Li 2.85, 3 Mo 2.94
Mo  0.9976  0.9976  0.9976  9 Mo 2.85-2.87, 3 Li 2.94
Mo  0.2531  0.2531  0.2531  9 Mo 2.85-2.87, 3 Sc 2.98
Sc  0.5040  0.5040  0.5040  6 Sc 2.85, 3 Mo 2.98

The formation energy from the elements comes out at 42 kJ/mol of atoms. The total energy is -28.184 eV for the cell shown. The density of states at the Fermi level comes out at 1.0489 states/eV per atom. As for the space group: R3m.